(1)
## Sr2Be2MoO6 (PBE with a Hubbard U)

Data for Sr2Be2MoO6 after structural relaxation.

Cell: 5.4430 5.4430 6.1918 Å, 63.93 63.93 60.00°
Last column: nearest neighbours and their distance in Å.
Fractional coordinates of all 11 atoms:
O  0.7397  0.2518  0.7566  1 Be 1.53
O  0.2518  0.2518  0.7566  1 Be 1.53
O  0.7482  0.7482  0.2434  1 Be 1.53
O  0.2603  0.7482  0.2434  1 Be 1.53
Sr  0.7821  0.7821  0.6537  9 O 2.72-2.78
O  0.2518  0.7397  0.7566  1 Be 1.53
Sr  0.2179  0.2179  0.3463  9 O 2.72-2.78
Mo  0.0000  0.0000  0.0000  6 O 2.07
Be  0.4153  0.4153  0.7541  3 O 1.53
O  0.7482  0.2603  0.2434  1 Be 1.53
Be  0.5847  0.5847  0.2459  3 O 1.53

Output
Its total energy is -0.4976 Ry/atom.

***

(2)
## Sr2BeMoO6 (PBE with a Hubbard U)

Data for Sr2BeMoO6 after structural relaxation.

Cell: 5.4594 5.4594 5.4594 Å, 60.00 60.00 90.00°
Last column: nearest neighbours and their distance in Å.
Fractional coordinates of all 10 atoms:
O  0.7526  0.7526  0.0000  1 Be 1.91, 1 Mo 1.95
Be  0.0000  0.0000  0.0000  6 O 1.91
O  0.2474  0.7526  0.0000  1 Be 1.91, 1 Mo 1.95
O  0.7526  0.7526  0.4948  1 Be 1.91, 1 Mo 1.95
O  0.2474  0.2474  0.5052  1 Be 1.91, 1 Mo 1.95
Sr  0.2500  0.7500  0.5000  12 O 2.73
O  0.7526  0.2474  0.0000  1 Be 1.91, 1 Mo 1.95
Mo  0.5000  0.5000  0.0000  6 O 1.95
Sr  0.7500  0.2500  0.5000  12 O 2.73
O  0.2474  0.2474  0.0000  1 Be 1.91, 1 Mo 1.95

Output
Its total energy is -0.4944 Ry/atom.

***

(3)
## BeTlMo2O8 (PBE with a Hubbard U)

Data for BeTlMo2O8 after structural relaxation.

Cell: 5.0917 5.0917 9.0388 Å, 73.64 73.64 60.00°
Last column: nearest neighbours and their distance in Å.
Fractional coordinates of all 12 atoms:
O  0.7648  0.0146  0.8736  1 Mo 1.80, 1 Be 1.84
Mo  0.2703  0.2703  0.1891  4 O 1.80
O  0.0146  0.3471  0.8736  1 Mo 1.80, 1 Be 1.84
O  0.2002  0.2002  0.3995  1 Mo 1.80
Be  0.0000  0.0000  0.0000  6 O 1.84
O  0.3471  0.7648  0.8736  1 Mo 1.80, 1 Be 1.84
O  0.9854  0.6529  0.1264  1 Mo 1.80, 1 Be 1.84
O  0.6529  0.2352  0.1264  1 Mo 1.80, 1 Be 1.84
Mo  0.7297  0.7297  0.8109  4 O 1.80
O  0.7998  0.7998  0.6005  1 Mo 1.80
O  0.2352  0.9854  0.1264  1 Mo 1.80, 1 Be 1.84
Tl  0.5000  0.5000  0.5000  6 O 3.06

Output
Its total energy is -0.4702 Ry/atom.